# PBE Ba2MgGe3Au4, relaxed
data_Ba2MgGe3Au4
_chemical_formula_sum 'Ba2 Mg1 Ge3 Au4'
_symmetry_space_group_name_H-M 'P 1'
_symmetry_Int_Tables_number 1
_cell_length_a 4.6753
_cell_length_b 4.6753
_cell_length_c 10.9222
_cell_angle_alpha 90.00
_cell_angle_beta 90.00
_cell_angle_gamma 90.00
loop_
_symmetry_equiv_pos_as_xyz
'x,y,z'
loop_
_atom_site_label
_atom_site_fract_x
_atom_site_fract_y
_atom_site_fract_z
Ba1 0.5000 0.0000 0.2411
Ba2 0.0000 0.5000 0.7589
Mg1 0.5000 0.5000 0.5000
Ge1 0.0000 0.0000 0.5000
Ge2 0.5000 0.0000 0.8744
Ge3 0.0000 0.5000 0.1256
Au1 0.5000 0.5000 0.0000
Au2 0.0000 0.0000 0.0000
Au3 0.5000 0.0000 0.6297
Au4 0.0000 0.5000 0.3703
# - SG: No. 115
# - VASP energy: -0.278 Ry per atom
# - Crystal system: tetragonal
# - DFT formation energy: -0.54 eV per atom